[1]
A plane-wave DFT calculation with PBE was carried out for a relaxed ZnCr2Br crystal.

Cell: 5.0526 5.0526 5.0526 Å, 129.13 129.13 74.81°
Element x y z (fractional)
Br: 0.7500 0.2500 0.5000
Cr: 0.0000 0.0000 0.0000
Zn: 0.2500 0.7500 0.5000
Cr: 0.5000 0.5000 0.0000

Properties
**Formation energy without anion corrections**: 0.690 eV/atom
**Size of the total moment**: 8.89 Bohr magnetons per cell
**SG**: I4/mmm

***

[2]
A plane-wave DFT calculation with PBE was carried out for a relaxed ZnCrBr2 crystal.

Cell: 5.4866 5.4866 4.3992 Å, 66.66 66.66 90.60°
Element x y z (fractional)
Br: 0.5000 0.5000 0.0000
Cr: 0.5000 0.0000 0.5000
Br: 0.0000 0.0000 0.0000
Zn: 0.0000 0.5000 0.5000

Properties
**Formation energy without anion corrections**: 0.041 eV/atom
**Size of the total moment**: 4.77 Bohr magnetons per cell
**SG**: C2/m

***

[3]
A plane-wave DFT calculation with PBE was carried out for a relaxed ZnCrBr2 crystal.

Cell: 7.4264 7.4264 7.4264 Å, 149.50 149.50 43.67°
Element x y z (fractional)
Br: 0.0000 0.0000 0.0000
Zn: 0.7500 0.2500 0.5000
Br: 0.2500 0.7500 0.5000
Cr: 0.5000 0.5000 0.0000

Properties
**Formation energy without anion corrections**: 0.051 eV/atom
**Size of the total moment**: 4.84 Bohr magnetons per cell
**SG**: I-4m2

***

[4]
A plane-wave DFT calculation with PBE was carried out for a relaxed Zn2Cr2Br crystal.

Cell: 7.6708 7.6708 3.0049 Å, 90.00 90.00 90.00°
Element x y z (fractional)
Cr: 0.4140 0.0860 0.5000
Zn: 0.6975 0.1975 0.0000
Cr: 0.0860 0.5860 0.5000
Br: 0.0000 0.0000 0.0000
Cr: 0.9140 0.4140 0.5000
Br: 0.5000 0.5000 0.0000
Zn: 0.3025 0.8025 0.0000
Zn: 0.8025 0.6975 0.0000
Cr: 0.5860 0.9140 0.5000
Zn: 0.1975 0.3025 0.0000

Properties
**Formation energy without anion corrections**: 0.655 eV/atom
**Size of the total moment**: 2.34 Bohr magnetons per cell
**SG**: P4/mbm

***

[5]
A plane-wave DFT calculation with PBE was carried out for a relaxed ZnCr2Br crystal.

Cell: 4.8091 4.8091 3.1579 Å, 90.00 90.00 99.08°
Element x y z (fractional)
Zn: 0.5000 0.0000 0.5000
Br: 0.0000 0.5000 0.5000
Cr: 0.5000 0.5000 0.0000
Cr: 0.0000 0.0000 0.0000

Properties
**Formation energy without anion corrections**: 0.642 eV/atom
**Size of the total moment**: 8.22 Bohr magnetons per cell
**SG**: Cmmm

***

[6]
A plane-wave DFT calculation with PBE was carried out for a relaxed Zn2CrBr crystal.

Cell: 4.3806 4.3806 8.7559 Å, 48.92 48.92 56.32°
Element x y z (fractional)
Zn: 0.7227 0.7227 0.9638
Zn: 0.0758 0.0758 0.9318
Br: 0.4718 0.4718 0.4507
Cr: 0.2297 0.2297 0.1537

Properties
**Formation energy without anion corrections**: 0.093 eV/atom
**Size of the total moment**: 4.00 Bohr magnetons per cell
**SG**: Cm

***

[7]
A plane-wave DFT calculation with PBE was carried out for a relaxed ZnCr2Br crystal.

Cell: 3.2259 3.2259 7.5569 Å, 90.00 90.00 89.92°
Element x y z (fractional)
Cr: 0.0000 0.0000 0.0493
Zn: 0.0000 0.0000 0.4012
Br: 0.5000 0.5000 0.8417
Cr: 0.5000 0.5000 0.2078

Properties
**Formation energy without anion corrections**: 0.277 eV/atom
**Size of the total moment**: 0.95 Bohr magnetons per cell
**SG**: P4mm

***

[8]
A plane-wave DFT calculation with PBE was carried out for a relaxed Zn2CrBr crystal.

Cell: 6.3960 6.3960 4.3135 Å, 70.13 70.13 29.37°
Element x y z (fractional)
Zn: 0.5200 0.5200 0.4799
Cr: 0.2500 0.2500 0.2500
Zn: 0.9800 0.9800 0.0201
Br: 0.7500 0.7500 0.7500

Properties
**Formation energy without anion corrections**: 0.270 eV/atom
**Size of the total moment**: 4.65 Bohr magnetons per cell
**SG**: C2/m

***

[9]
A plane-wave DFT calculation with PBE was carried out for a relaxed ZnCr2Br crystal.

Cell: 8.3481 8.3481 8.3481 Å, 21.57 21.57 21.57°
Element x y z (fractional)
Cr: 0.2602 0.2602 0.2602
Br: 0.7372 0.7372 0.7372
Zn: 0.5111 0.5111 0.5111
Cr: 0.9915 0.9915 0.9915

Properties
**Formation energy without anion corrections**: 0.333 eV/atom
**Size of the total moment**: 0.04 Bohr magnetons per cell
**SG**: R3m

***

[10]
A plane-wave DFT calculation with PBE was carried out for a relaxed Zn2CrBr8 crystal.

Cell: 6.3642 8.3072 8.3072 Å, 53.09 86.88 86.88°
Element x y z (fractional)
Zn: 0.6148 0.8445 0.8445
Zn: 0.3852 0.1555 0.1555
Br: 0.2266 0.3028 0.8266
Cr: 0.0000 0.0000 0.0000
Br: 0.3002 0.3117 0.3117
Br: 0.2266 0.8266 0.3028
Br: 0.7734 0.1734 0.6972
Br: 0.7777 0.1461 0.1461
Br: 0.7734 0.6972 0.1734
Br: 0.2223 0.8539 0.8539
Br: 0.6998 0.6883 0.6883

Properties
**Formation energy without anion corrections**: -0.661 eV/atom
**Size of the total moment**: 1.92 Bohr magnetons per cell
**SG**: C2/m

***

[11]
A plane-wave DFT calculation with PBE was carried out for a relaxed ZnCr2Br crystal.

Cell: 3.2914 3.2914 6.8848 Å, 90.00 90.00 90.02°
Element x y z (fractional)
Zn: 0.5000 0.5000 0.2500
Cr: 0.0000 0.0000 0.4646
Cr: 0.0000 0.0000 0.0354
Br: 0.5000 0.5000 0.7500

Properties
**Formation energy without anion corrections**: 0.474 eV/atom
**Size of the total moment**: 8.56 Bohr magnetons per cell
**SG**: P4/mmm

***

[12]
A plane-wave DFT calculation with PBE was carried out for a relaxed ZnCrBr2 crystal.

Cell: 6.6377 6.6377 6.5988 Å, 60.16 60.16 31.03°
Element x y z (fractional)
Cr: 0.7500 0.7500 0.7500
Br: 0.4111 0.4111 0.5889
Br: 0.0889 0.0889 0.9111
Zn: 0.2500 0.2500 0.2500

Properties
**Formation energy without anion corrections**: -0.210 eV/atom
**Size of the total moment**: 4.02 Bohr magnetons per cell
**SG**: Immm

***

[13]
A plane-wave DFT calculation with PBE was carried out for a relaxed Zn2CrBr crystal.

Cell: 3.3148 4.2234 5.9890 Å, 90.00 90.00 90.00°
Element x y z (fractional)
Cr: 0.0000 0.5000 0.5000
Zn: 0.5000 0.5000 0.0000
Br: 0.5000 0.0000 0.5000
Zn: 0.0000 0.0000 0.0000

Properties
**Formation energy without anion corrections**: 0.309 eV/atom
**Size of the total moment**: 4.62 Bohr magnetons per cell
**SG**: Pmmm

***

[14]
A plane-wave DFT calculation with PBE was carried out for a relaxed ZnCr2Br crystal.

Cell: 8.0253 8.0253 8.0253 Å, 24.02 24.02 24.02°
Element x y z (fractional)
Cr: 0.5035 0.5035 0.5035
Br: 0.7500 0.7500 0.7500
Zn: 0.2500 0.2500 0.2500
Cr: 0.9965 0.9965 0.9965

Properties
**Formation energy without anion corrections**: 0.478 eV/atom
**Size of the total moment**: 8.04 Bohr magnetons per cell
**SG**: R-3m

***

[15]
A plane-wave DFT calculation with PBE was carried out for a relaxed ZnCrBr crystal.

Cell: 4.6818 4.6818 4.6818 Å, 60.00 60.00 60.00°
Element x y z (fractional)
Zn: 0.0000 0.0000 0.0000
Cr: 0.7500 0.7500 0.7500
Br: 0.5000 0.5000 0.5000

Properties
**Formation energy without anion corrections**: 0.338 eV/atom
**Size of the total moment**: 4.96 Bohr magnetons per cell
**SG**: F-43m